--- one ---
La5Tb6Nd after structural relaxation. Source: Alexandria, functional PBE.

```
data_La5Tb6Nd
_symmetry_space_group_name_H-M 'C 1 2/m 1'
_symmetry_Int_Tables_number 12
_cell_length_a 6.345
_cell_length_b 10.995
_cell_length_c 11.933
_cell_angle_alpha 90.00
_cell_angle_beta 100.21
_cell_angle_gamma 90.00
loop_
_symmetry_equiv_pos_as_xyz
'x,y,z'
'-x,-y,-z'
'-x,y,-z'
'x,-y,z'
'x+1/2,y+1/2,z'
'-x+1/2,-y+1/2,-z'
'-x+1/2,y+1/2,-z'
'x+1/2,-y+1/2,z'
loop_
_atom_site_label
_atom_site_fract_x
_atom_site_fract_y
_atom_site_fract_z
La1 0.000 0.000 0.000
La2 0.000 0.167 0.500
La3 0.000 0.334 0.000
Tb1 0.249 0.334 0.750
Tb2 0.250 0.000 0.749
Nd1 0.000 0.500 0.500
```



--- two ---
La5Tb6Nd after structural relaxation. Source: Alexandria, functional PBE.

```
data_La5Tb6Nd
_symmetry_space_group_name_H-M 'I m m m'
_symmetry_Int_Tables_number 71
_symmetry_space_group_name_Hall '-I 2 2'
_cell_length_a 5.225
_cell_length_b 10.110
_cell_length_c 15.585
_cell_angle_alpha 90.00
_cell_angle_beta 90.00
_cell_angle_gamma 90.00
loop_
_atom_site_label
_atom_site_fract_x
_atom_site_fract_y
_atom_site_fract_z
La1 0.000 0.000 0.000
La2 0.000 0.000 0.334
La3 0.000 0.500 0.333
Tb1 0.000 0.249 0.500
Tb2 0.000 0.250 0.166
Nd1 0.000 0.500 0.000
```



Most stable = one